(1)
BaAcPuN3: relaxed, PBE.

Calculated values
Crystal system: monoclinic
Volume (Å³/cell): 275
Space-group type: P2_1/m (11)
Uncorrected energy (eV per atom): -8.27
Total moment (μB/cell): 2.40

Cell: 3.8158 10.3234 7.1849 Å, 103.48 90.00 90.00°
Last column: magnetic moment on the atom in μB.
Positions (direct):
N 0.7500 0.1565 0.4833  -0.04
N 0.2500 0.5659 0.8476  0.00
N 0.7500 0.4341 0.1524  0.00
N 0.7500 0.7963 0.1841  -0.04
N 0.2500 0.2037 0.8159  -0.04
N 0.2500 0.8435 0.5167  -0.04
Ac 0.7500 0.3880 0.7929  0.00
Ac 0.2500 0.6120 0.2071  0.00
Ba 0.7500 0.7494 0.8024  0.00
Ba 0.2500 0.2506 0.1976  0.00
Pu 0.2500 0.0660 0.5871  1.29
Pu 0.7500 0.9340 0.4129  1.29

***

(2)
ThScNi2: relaxed, PBE.

Calculated values
Crystal system: tetragonal
Volume (Å³/cell): 75
Energy relative to the elements (eV/atom): -0.361
Space-group type: P4/mmm (123)
Polymorph energy (0 for the lowest one) (meV per atom): 104
Total moment (μB/cell): 0.00

Cell: 3.3651 4.7237 4.7237 Å, 90.00 90.00 90.00°
Positions (direct):
Th 0.5000 0.0000 0.0000
Ni 0.0000 0.5000 0.0000
Ni 0.0000 0.0000 0.5000
Sc 0.5000 0.5000 0.5000

***

(3)
TbNdI6: relaxed, PBE.

Calculated values
Crystal system: trigonal
Volume (Å³/cell): 362
Space-group type: R-3 (148)
Polymorph energy (0 for the lowest one) (meV per atom): 22
Total moment (μB/cell): 0.00

Cell: 7.7296 7.7300 8.2955 Å, 62.22 62.23 59.99°
Positions (direct):
I 0.5846 0.2548 0.2532
I 0.2548 0.9075 0.2531
I 0.4154 0.7452 0.7468
I 0.9075 0.5846 0.2532
I 0.0925 0.4154 0.7468
I 0.7452 0.0925 0.7469
Tb 0.5000 0.5000 0.5000
Nd 0.0000 0.0000 0.0000

***

(4)
Sr3Al2Pd3: relaxed, PBE.

Calculated values
Crystal system: orthorhombic
Volume (Å³/cell): 811
Energy relative to the elements (eV/atom): -0.671
Space-group type: Pnma (62)
Total moment (μB/cell): 0.00

Cell: 6.4468 8.2245 15.2962 Å, 90.00 90.00 90.00°
Positions (direct):
Pd 0.5475 0.3106 0.7500
Pd 0.1039 0.1537 0.9579
Pd 0.1039 0.1537 0.5421
Pd 0.3961 0.6537 0.5421
Pd 0.0475 0.1894 0.2500
Pd 0.8961 0.8463 0.4579
Pd 0.6039 0.3463 0.4579
Pd 0.9525 0.8106 0.7500
Pd 0.4525 0.6894 0.2500
Pd 0.8961 0.8463 0.0421
Pd 0.3961 0.6537 0.9579
Pd 0.6039 0.3463 0.0421
Sr 0.8548 0.5146 0.8927
Sr 0.1452 0.4854 0.3927
Sr 0.6452 0.0146 0.8927
Sr 0.1452 0.4854 0.1073
Sr 0.8892 0.8417 0.2500
Sr 0.1108 0.1583 0.7500
Sr 0.3892 0.6583 0.7500
Sr 0.6108 0.3417 0.2500
Sr 0.3548 0.9854 0.1073
Sr 0.6452 0.0146 0.6073
Sr 0.3548 0.9854 0.3927
Sr 0.8548 0.5146 0.6073
Al 0.6292 0.6414 0.0925
Al 0.1292 0.8586 0.9075
Al 0.8708 0.1414 0.4075
Al 0.6292 0.6414 0.4075
Al 0.3708 0.3586 0.5925
Al 0.8708 0.1414 0.0925
Al 0.1292 0.8586 0.5925
Al 0.3708 0.3586 0.9075

***

(5)
Tl3HgSe2: relaxed, PBE.

Calculated values
Crystal system: monoclinic
Volume (Å³/cell): 381
Space-group type: C2/c (15)
Polymorph energy (0 for the lowest one) (meV per atom): 32
Total moment (μB/cell): 0.00

Cell: 6.2286 7.8815 8.8596 Å, 106.26 90.00 113.27°
Positions (direct):
Se 0.3421 0.6772 0.9191
Se 0.3351 0.6772 0.4191
Se 0.6649 0.3228 0.5809
Se 0.6579 0.3228 0.0809
Tl 0.3977 0.0000 0.7500
Tl 0.8087 0.6119 0.9029
Tl 0.1968 0.3881 0.5971
Tl 0.1913 0.3881 0.0971
Tl 0.8032 0.6119 0.4029
Tl 0.6023 0.0000 0.2500
Hg 0.1060 0.0000 0.2500
Hg 0.8940 0.0000 0.7500

***

(6)
Pr2Sc4Ge3O2: relaxed, PBE.

Calculated values
Crystal system: tetragonal
Volume (Å³/cell): 220
Space-group type: I4/mmm (139)
Uncorrected energy (eV per atom): -6.98
Total moment (μB/cell): 1.18

Cell: 4.3192 4.3192 12.2035 Å, 100.19 100.19 90.00°
Last column: magnetic moment on the atom in μB.
Positions (direct):
Ge 0.8346 0.8346 0.6692  -0.02
Ge 0.0000 0.0000 0.0000  -0.01
Ge 0.1654 0.1654 0.3308  -0.02
Pr 0.3047 0.3047 0.6095  0.18
Pr 0.6953 0.6953 0.3905  0.18
Sc 0.5770 0.0770 0.1539  0.06
Sc 0.9230 0.4230 0.8461  0.06
Sc 0.0770 0.5770 0.1539  0.06
Sc 0.4230 0.9230 0.8461  0.06
O 0.5851 0.5851 0.1701  0.00
O 0.4149 0.4149 0.8299  0.00

***

(7)
Nd6Tl3Ag: relaxed, PBE.

Calculated values
Crystal system: orthorhombic
Volume (Å³/cell): 630
Energy relative to the elements (eV/atom): -0.210
Space-group type: Pnnm (58)
Polymorph energy (0 for the lowest one) (meV per atom): 41
Total moment (μB/cell): 0.94

Cell: 5.4131 9.4504 12.3115 Å, 90.00 90.00 90.00°
Last column: magnetic moment on the atom in μB.
Positions (direct):
Tl 0.5000 0.1644 0.2509  0.00
Tl 0.0000 0.0000 0.5000  0.00
Tl 0.5000 0.5000 0.0000  0.00
Tl 0.0000 0.3356 0.7509  0.00
Tl 0.5000 0.8356 0.7491  0.00
Tl 0.0000 0.6644 0.2491  0.00
Nd 0.0000 0.6712 0.9147  0.05
Nd 0.0001 0.3349 0.4127  0.05
Nd 0.5000 0.4965 0.2553  0.02
Nd 0.5001 0.1651 0.9127  0.05
Nd 0.5000 0.1712 0.5852  0.05
Nd 0.0000 0.9965 0.2447  0.02
Nd 0.9999 0.6651 0.5873  0.05
Nd 0.5000 0.5035 0.7447  0.02
Nd 0.0000 0.3288 0.0853  0.05
Nd 0.5000 0.8288 0.4148  0.05
Nd 0.4999 0.8349 0.0873  0.05
Nd 0.0000 0.0035 0.7553  0.02
Ag 0.5000 0.5000 0.5000  0.01
Ag 0.0000 0.0000 0.0000  0.01

***

(8)
NbTlSe2: relaxed, PBE.

Calculated values
Crystal system: monoclinic
Volume (Å³/cell): 811
Space-group type: C2/c (15)
Uncorrected energy (eV per atom): -5.34
Total moment (μB/cell): 0.00

Cell: 18.7046 6.7184 6.7184 Å, 81.94 99.18 80.82°
Positions (direct):
Se 0.0660 0.6659 0.2889
Se 0.5660 0.2111 0.8341
Se 0.7504 0.6396 0.6224
Se 0.7500 0.5994 0.0994
Se 0.2500 0.8383 0.3383
Se 0.9340 0.3341 0.7111
Se 0.5660 0.7408 0.7356
Se 0.2496 0.3604 0.3776
Se 0.2500 0.4006 0.9006
Se 0.0660 0.7644 0.7592
Se 0.2504 0.8776 0.8604
Se 0.4340 0.2592 0.2644
Se 0.4340 0.7889 0.1659
Se 0.9340 0.2356 0.2408
Se 0.7496 0.1224 0.1396
Se 0.7500 0.1617 0.6617
Nb 0.6738 0.9201 0.8407
Nb 0.3262 0.0799 0.1593
Nb 0.1705 0.6608 0.0780
Nb 0.6705 0.4220 0.8392
Nb 0.3295 0.5780 0.1608
Nb 0.8262 0.3407 0.4201
Nb 0.8295 0.3392 0.9220
Nb 0.1738 0.6593 0.5799
Tl 0.0980 0.1957 0.0465
Tl 0.1034 0.1956 0.5486
Tl 0.4020 0.5465 0.6957
Tl 0.3966 0.0486 0.6956
Tl 0.6034 0.9514 0.3044
Tl 0.9020 0.8043 0.9535
Tl 0.5980 0.4535 0.3043
Tl 0.8966 0.8044 0.4514

***

(9)
Li2ScPt: relaxed, PBE.

Calculated values
Crystal system: orthorhombic
Volume (Å³/cell): 66
Energy relative to the elements (eV/atom): -0.265
Space-group type: Cmmm (65)
Polymorph energy (0 for the lowest one) (meV per atom): 313
Total moment (μB/cell): 0.17

Cell: 5.0376 5.0376 2.9508 Å, 90.00 90.00 117.61°
Last column: magnetic moment on the atom in μB.
Positions (direct):
Li 0.5000 0.5000 0.0000  0.01
Li 0.0000 0.0000 0.0000  0.01
Sc 0.0000 0.5000 0.5000  0.08
Pt 0.5000 0.0000 0.5000  0.00

***

(10)
CaZr2: relaxed, PBE.

Calculated values
Crystal system: orthorhombic
Volume (Å³/cell): 318
Energy relative to the elements (eV/atom): 0.327
Space-group type: Pnma (62)
Polymorph energy (0 for the lowest one) (meV per atom): 175
Total moment (μB/cell): 0.00

Cell: 4.7234 6.7546 9.9614 Å, 90.00 90.00 90.00°
Positions (direct):
Zr 0.2500 0.6298 0.7676
Zr 0.7500 0.8702 0.2676
Zr 0.7500 0.4002 0.9174
Zr 0.2500 0.1298 0.7324
Zr 0.2500 0.5998 0.0826
Zr 0.2500 0.0998 0.4174
Zr 0.7500 0.9002 0.5826
Zr 0.7500 0.3702 0.2324
Ca 0.2500 0.1219 0.0836
Ca 0.2500 0.6219 0.4164
Ca 0.7500 0.3781 0.5836
Ca 0.7500 0.8781 0.9164

***

(11)
Na3S: relaxed, PBE.

Calculated values
Crystal system: orthorhombic
Volume (Å³/cell): 119
Space-group type: Immm (71)
Uncorrected energy (eV per atom): -2.62
Total moment (μB/cell): 0.00

Cell: 3.6731 4.4863 7.7967 Å, 106.72 103.62 90.00°
Positions (direct):
Na 0.6485 0.0650 0.2970
Na 0.3515 0.7680 0.7030
Na 0.5000 0.4167 0.0000
S 0.0000 0.9169 0.0000

***

(12)
Tm8NiRh2: relaxed, PBE.

Calculated values
Crystal system: monoclinic
Volume (Å³/cell): 265
Energy relative to the elements (eV/atom): -0.426
Space-group type: C2/m (12)
Polymorph energy (0 for the lowest one) (meV per atom): 0
Total moment (μB/cell): 0.00

Cell: 4.8990 6.6721 8.8351 Å, 106.85 106.10 90.00°
Positions (direct):
Tm 0.5935 0.4484 0.1871
Tm 0.7972 0.6863 0.5944
Tm 0.9682 0.2099 0.9363
Tm 0.0318 0.7901 0.0637
Tm 0.4065 0.5516 0.8129
Tm 0.3333 0.0330 0.6665
Tm 0.6667 0.9670 0.3335
Tm 0.2028 0.3137 0.4056
Rh 0.1859 0.7076 0.3718
Rh 0.8141 0.2924 0.6282
Ni 0.5000 0.0000 0.0000

***

(13)
La8Ir3PtI3: relaxed, PBE.

Calculated values
Crystal system: monoclinic
Volume (Å³/cell): 515
Space-group type: C2/m (12)
Uncorrected energy (eV per atom): -6.13
Total moment (μB/cell): 0.37

Cell: 8.5558 8.5444 9.5136 Å, 116.63 89.96 120.04°
Positions (direct):
I 0.0000 0.5000 0.0000
I 0.5000 0.5000 0.0000
I 0.0000 0.0000 0.0000
La 0.7220 0.9544 0.6868
La 0.2324 0.4645 0.6865
La 0.7674 0.0455 0.3132
La 0.2704 0.5412 0.3120
La 0.2780 0.0456 0.3132
La 0.2326 0.9545 0.6868
La 0.7296 0.4588 0.6880
La 0.7676 0.5355 0.3135
Ir 0.5000 0.0000 0.5000
Ir 0.5000 0.5000 0.5000
Ir 0.0000 0.5000 0.5000
Pt 0.0000 0.0000 0.5000

***

(14)
VCr2In: relaxed, PBE.

Calculated values
Crystal system: tetragonal
Volume (Å³/cell): 129
Energy relative to the elements (eV/atom): 0.877
Space-group type: I-42d (122)
Polymorph energy (0 for the lowest one) (meV per atom): 615
Total moment (μB/cell): 0.00

Cell: 3.7840 3.7840 9.4258 Å, 78.42 78.42 90.00°
Positions (direct):
In 0.7500 0.2500 0.5000
In 0.0000 0.0000 0.0000
V 0.5000 0.5000 0.0000
V 0.2500 0.7500 0.5000
Cr 0.2068 0.1250 0.2500
Cr 0.3750 0.7932 0.7500
Cr 0.8750 0.4568 0.7500
Cr 0.5432 0.6250 0.2500

***

(15)
MgAlCd2: relaxed, PBE.

Calculated values
Crystal system: monoclinic
Volume (Å³/cell): 85
Energy relative to the elements (eV/atom): 0.038
Space-group type: Pm (6)
Total moment (μB/cell): 0.00

Cell: 4.8136 3.1520 5.8866 Å, 71.71 90.00 90.00°
Positions (direct):
Al 0.5000 0.9539 0.7303
Mg 0.0000 0.5719 0.5399
Cd 0.0000 0.7992 0.0075
Cd 0.5000 0.1750 0.2224

***

(16)
BaSrCd2Rh: relaxed, PBE.

Calculated values
Crystal system: tetragonal
Volume (Å³/cell): 161
Energy relative to the elements (eV/atom): -0.198
Space-group type: P4/mmm (123)
Polymorph energy (0 for the lowest one) (meV per atom): 0
Total moment (μB/cell): 0.00

Cell: 5.4524 5.4524 5.4146 Å, 90.00 90.00 90.00°
Positions (direct):
Rh 0.0000 0.0000 0.0000
Ba 0.5000 0.5000 0.5000
Sr 0.0000 0.0000 0.5000
Cd 0.0000 0.5000 0.0000
Cd 0.5000 0.0000 0.0000

***

(17)
V2GeRu: relaxed, PBE.

Calculated values
Crystal system: orthorhombic
Volume (Å³/cell): 55
Energy relative to the elements (eV/atom): -0.254
Space-group type: Imm2 (44)
Total moment (μB/cell): 0.00

Cell: 3.1050 4.1648 4.9553 Å, 114.85 108.26 90.00°
Positions (direct):
Ge 0.5026 0.5026 0.0051
Ru 0.7437 0.2437 0.4874
V 0.2595 0.7595 0.5189
V 0.9943 0.9943 0.9886

***

(18)
ZnSb3S: relaxed, PBE.

Calculated values
Crystal system: cubic
Volume (Å³/cell): 143
Space-group type: Pm-3m (221)
Polymorph energy (0 for the lowest one) (meV per atom): 0
Total moment (μB/cell): 0.00

Cell: 5.2330 5.2330 5.2330 Å, 90.00 90.00 90.00°
Positions (direct):
Sb 0.5000 0.0000 0.0000
Sb 0.0000 0.5000 0.0000
Sb 0.0000 0.0000 0.5000
Zn 0.5000 0.5000 0.5000
S 0.0000 0.0000 0.0000

***

(19)
As2PPd6: relaxed, PBE.

Calculated values
Crystal system: monoclinic
Volume (Å³/cell): 288
Energy relative to the elements (eV/atom): -0.279
Space-group type: P2_1/c (14)
Total moment (μB/cell): 0.00

Cell: 5.1114 7.3599 7.7440 Å, 90.00 99.13 90.00°
Positions (direct):
Pd 0.5899 0.1923 0.9439
Pd 0.8821 0.6718 0.9339
Pd 0.6179 0.1718 0.5661
Pd 0.9428 0.9700 0.1898
Pd 0.9101 0.6923 0.5561
Pd 0.4428 0.5300 0.6898
Pd 0.0572 0.0300 0.8102
Pd 0.5572 0.4700 0.3102
Pd 0.0899 0.3077 0.4439
Pd 0.1179 0.3282 0.0661
Pd 0.4101 0.8077 0.0561
Pd 0.3821 0.8282 0.4339
As 0.5534 0.8906 0.7614
As 0.4466 0.1094 0.2386
As 0.9466 0.3906 0.7386
As 0.0534 0.6094 0.2614
P 0.5000 0.5000 0.0000
P 0.0000 0.0000 0.5000

***

(20)
KTcOs2: relaxed, PBE.

Calculated values
Crystal system: cubic
Volume (Å³/cell): 65
Energy relative to the elements (eV/atom): 1.533
Space-group type: F-43m (216)
Polymorph energy (0 for the lowest one) (meV per atom): 845
Total moment (μB/cell): 0.00

Cell: 4.5107 4.5107 4.5107 Å, 120.04 120.04 89.93°
Positions (direct):
K 0.7500 0.2500 0.5000
Os 0.2500 0.7500 0.5000
Os 0.0000 0.0000 0.0000
Tc 0.5000 0.5000 0.0000